A geometry-optimized YMgZn structure. Source: OQMD, functional PBE.

As for the total magnetic moment: 0.00 μB/atom. Its total DFT energy (no corrections) is -0.1181 hartree per atom.

It has space group P3m1 (No. 156), with a = 4.9161 Å, b = 4.9161 Å, c = 9.8208 Å, α = 90.00°, β = 90.00° and γ = 120.00°. The inequivalent atoms are Y at (0.0000, 0.0000, 0.0000), Y at (0.0000, 0.0000, 0.3712), Y at (0.6667, 0.3333, 0.1716), Mg at (0.3333, 0.6667, 0.5613), Mg at (0.3333, 0.6667, 0.8795), Mg at (0.6667, 0.3333, 0.7908), Zn at (0.0000, 0.0000, 0.6896), Zn at (0.3333, 0.6667, 0.1885) and Zn at (0.6667, 0.3333, 0.4931).